[1]
VASP calculation (SCAN) on a crystal of Li5Ir relaxed with PBEsol.

Density   4.43 Mg/m³
Size of the total moment   0.0 μB/cell
DOS(E_F)   1.712 states/eV/cell
DFT formation energy   -24 kJ/mol of formula units
Raw total energy   -13.88 eV per atom

Lattice parameters (Å, degrees): 5.0014 5.0014 4.3375 90.00 90.00 128.43
Last column: nearest neighbours and their distance in Å.
Fractional coordinates of all 6 atoms:
1 Li 0.0000 0.0000 0.0000  8 Li 2.55-2.63
2 Li 0.1650 0.8350 0.5000  6 Li 2.63-2.74, 2 Ir 2.63
3 Li 0.3514 0.6486 0.0000  2 Ir 2.55, 7 Li 2.55-2.84
4 Li 0.6486 0.3514 0.0000  2 Ir 2.55, 7 Li 2.55-2.84
5 Li 0.8350 0.1650 0.5000  6 Li 2.63-2.74, 2 Ir 2.63
6 Ir 0.5000 0.5000 0.5000  8 Li 2.55-2.63

=====

[2]
VASP calculation (SCAN) on a crystal of CaTl3Au relaxed with PBEsol.

Density   7.44 Mg/m³
Size of the total moment   0.0 μB/cell
DOS(E_F)   5.585 states/eV/cell
DFT formation energy   339 kJ/mol of formula units
Raw total energy   -58.48 eV per atom

Lattice parameters (Å, degrees): 5.7473 5.7473 5.7473 90.00 90.00 90.00
Last column: nearest neighbours and their distance in Å.
Fractional coordinates of all 5 atoms:
1 Ca 0.0000 0.0000 0.0000  6 Tl 2.87
2 Tl 0.0000 0.0000 0.5000  2 Ca 2.87
3 Tl 0.0000 0.5000 0.0000  2 Ca 2.87
4 Tl 0.5000 0.0000 0.0000  2 Ca 2.87
5 Au 0.5000 0.5000 0.5000  12 Tl 4.06